# 1
Computed, not measured: TbBe2Au8 after structural relaxation at the GGA-PBE level of DFT.

Structure (POSCAR):
```
TbBe2Au8
1.0
-3.1970 2.2462 2.1626
-1.6613 -6.5191 1.7996
5.5927 2.0827 3.5890
Tb Be Au
1 2 8
Cartesian
-1.5985 1.1231 1.0813
3.2442 -0.7022 3.0096
0.6872 -3.7342 2.3789
-0.7074 -2.7149 6.0715
1.2619 -0.3797 6.5573
1.4209 -2.0312 4.0040
-1.3888 -3.1773 3.3424
2.1232 0.9871 4.2087
-0.6865 -0.1589 3.5472
-0.5274 -1.8104 0.9939
1.4419 0.5247 1.4796
```

Values from the calculation:
Space-group type: C2/m, No. 12
Calculated formation energy: -277 meV/atom
E: -3.76 eV/atom
Size of the total moment: 0.00 μB per formula unit


# 2
Computed, not measured: Tb2BeAu after structural relaxation at the GGA-PBE level of DFT.

Structure (POSCAR):
```
Tb2BeAu
1.0
5.0176 0.0000 0.0000
2.5088 4.3453 0.0000
2.5088 1.4484 4.0968
Tb Au Be
2 1 1
Cartesian
2.5088 1.4484 1.0242
7.5264 4.3453 3.0726
5.0176 2.8969 2.0484
0.0000 0.0000 0.0000
```

Values from the calculation:
Space-group type: Fm-3m, No. 225
Calculated formation energy: -322 meV/atom
E: -4.39 eV/atom
Size of the total moment: 0.00 μB per formula unit
Energy above the most stable polymorph in this dataset: 47 meV/atom


# 3
Computed, not measured: TbBe3Au6 after structural relaxation at the GGA-PBE level of DFT.

Structure (POSCAR):
```
TbBe3Au6
1.0
-4.2312 -2.6679 2.6732
1.6782 -1.7651 -5.1220
6.3139 -1.4215 2.5586
Tb Be Au
1 3 6
Cartesian
3.3784 -5.4970 -0.1388
3.9295 -3.6735 2.5534
5.9221 -3.3938 -0.0302
1.5351 -1.4351 0.9975
3.7290 -2.4276 0.4705
1.9960 -1.9857 -2.4048
-1.5246 -2.5211 2.2428
4.5821 -3.2853 -2.0762
1.6036 -3.7521 1.8359
-0.0330 -2.7228 -0.3429
```

Values from the calculation:
Space-group type: R3, No. 146
Calculated formation energy: -293 meV/atom
E: -3.84 eV/atom
Size of the total moment: 0.00 μB per formula unit


# 4
Computed, not measured: Tb2Be3Au9 after structural relaxation at the GGA-PBE level of DFT.

Structure (POSCAR):
```
Tb2Be3Au9
1.0
7.2156 -0.0480 -3.0289
-4.2555 6.5676 0.0026
0.1087 0.1161 10.3399
Tb Be Au
4 6 18
Cartesian
1.4866 1.6866 6.7436
1.5823 4.9491 0.5700
4.7535 3.9017 4.7275
-1.6846 2.7340 2.5861
3.6078 -0.0240 -1.5145
1.5345 3.3178 3.6568
5.5189 1.2013 2.5718
-2.4499 5.4344 4.7418
-0.1425 2.4846 9.7823
3.2115 4.1511 -2.4688
-0.7045 6.0885 6.3546
3.7735 0.5472 0.9590
2.0206 4.5949 5.8026
1.0483 2.0408 1.5110
0.5603 4.2293 8.2448
2.5086 2.4064 -0.9312
-0.6254 3.4121 5.3244
3.6944 3.2236 1.9892
5.9620 1.0834 5.0040
-2.8931 5.5523 2.3095
-3.0827 6.5985 9.3296
6.1516 0.0372 -2.0161
3.1527 1.3405 4.1014
-0.0838 5.2952 3.2122
2.7504 5.6513 3.2163
0.3185 0.9844 4.0973
4.4744 2.1058 7.2480
-1.4055 4.5299 0.0655
```

Values from the calculation:
Space-group type: C2/c, No. 15
Calculated formation energy: -442 meV/atom
E: -4.01 eV/atom
Size of the total moment: 0.00 μB per formula unit


# 5
Computed, not measured: TbBe5Au7 after structural relaxation at the GGA-PBE level of DFT.

Structure (POSCAR):
```
TbBe5Au7
1.0
-0.3457 -4.0412 2.9764
4.4081 -4.7919 -1.7425
4.1018 0.4432 5.3300
Tb Be Au
1 5 7
Cartesian
-0.2708 -4.0438 2.9815
6.2275 -6.5524 2.4178
6.3973 -4.5683 0.9565
6.0765 -3.9713 5.9047
6.2463 -1.9872 4.4434
6.2849 -6.2981 4.9340
2.7558 -4.1489 3.1904
5.6770 -4.2504 3.3920
4.0969 -5.3829 5.9225
4.1953 -7.0647 3.6503
1.8374 -2.0904 1.6269
3.9069 -5.7943 1.0901
3.7187 -2.5770 5.4366
```

Values from the calculation:
Space-group type: Imm2, No. 44
Calculated formation energy: -288 meV/atom
E: -3.84 eV/atom
Size of the total moment: 0.00 μB per formula unit


# 6
Computed, not measured: Tb2BeAu after structural relaxation at the GGA-PBE level of DFT.

Structure (POSCAR):
```
Tb2BeAu
1.0
-3.5388 -0.1393 -0.1797
0.2172 -1.2400 -3.3151
0.1317 -6.4890 2.4358
Tb Au Be
2 1 1
Cartesian
0.1006 -4.9563 1.8605
0.0311 -1.5326 0.5753
-1.5949 -3.9341 -0.5295
-1.6608 -0.6897 -1.7474
```

Values from the calculation:
Space-group type: P4/mmm, No. 123
Calculated formation energy: -369 meV/atom
E: -4.44 eV/atom
Size of the total moment: 0.00 μB per formula unit
Energy above the most stable polymorph in this dataset: 0 meV/atom